The following is a DFT calculation (GGA+U) of a geometry-optimized HoV2PbO8 structure.

calculated volume	198.32	Å³/cell
energy	-7.2467	eV per atom

Cell lengths 5.8624, 5.8624, 6.6632 Å; angles 90.00, 90.00, 120.00 degrees
With the nearest neighbours (Å) after each atom.
Fractional positions:
Ho 0.0000 0.0000 0.0000  6 O 2.26
V 0.3333 0.6667 0.3063  4 O 1.64-1.79
V 0.6667 0.3333 0.6937  4 O 1.64-1.79
Pb 0.0000 0.0000 0.5000  6 O 2.48
O 0.1652 0.3304 0.2268  1 V 1.79
O 0.1652 0.8348 0.2268  1 V 1.79
O 0.3304 0.1652 0.7732  1 V 1.79
O 0.3333 0.6667 0.5529  1 V 1.64
O 0.6667 0.3333 0.4471  1 V 1.64
O 0.6696 0.8348 0.2268  1 V 1.79
O 0.8348 0.1652 0.7732  1 V 1.79
O 0.8348 0.6696 0.7732  1 V 1.79